# 1
10
Lattice="7.159 -3.242 0.000 7.159 3.242 0.000 -5.104 0.000 8.632" Properties=species:S:1:pos:R:3 comment="Sn2SI2, optimized geometry, DFT PBE" total_energy_ev_per_cell=-34.77 sg="C2/m, No. 12" pbc="T T T"
Sn -1.092 0.000 2.921
Sn -0.072 0.000 7.713
Sn 9.286 0.000 0.919
Sn 10.306 0.000 5.711
S -1.447 0.000 5.550
S 10.660 0.000 3.082
I 2.114 0.000 0.566
I 2.616 0.000 6.013
I 6.598 0.000 2.618
I 7.100 0.000 8.065



# 2
5
Lattice="5.506 0.000 0.000 0.000 5.506 0.000 0.000 0.000 5.506" Properties=species:S:1:pos:R:3 comment="Ca3ScRe, optimized geometry, DFT PBE" dos_at_fermi_per_ev_fu=12.3 sg="Pm-3m, No. 221" delta_e_f_ev_per_atom=0.914 pbc="T T T"
Ca 0.000 0.000 2.753
Ca 0.000 2.753 0.000
Ca 2.753 0.000 0.000
Sc 2.753 2.753 2.753
Re 0.000 0.000 0.000



# 3
20
Lattice="8.971 0.000 0.000 -4.486 7.769 0.000 0.000 0.000 5.661" Properties=species:S:1:pos:R:3 comment="Sc7P3, optimized geometry, DFT PBE" dos_at_fermi_per_ev_fu=10.0 sg="P6_3mc, No. 186" delta_e_f_ev_per_atom=-0.955 pbc="T T T"
Sc -1.776 4.154 0.000
Sc 0.000 1.917 1.490
Sc -2.825 6.811 1.490
Sc 1.660 0.959 4.321
Sc 0.000 5.180 2.502
Sc 1.776 4.154 0.000
Sc 0.000 7.230 0.000
Sc 4.486 0.539 2.830
Sc 2.710 3.615 2.830
Sc 4.486 2.590 5.332
Sc 2.825 6.811 1.490
Sc 7.311 0.959 4.321
Sc 4.486 5.852 4.321
Sc 6.262 3.615 2.830
P 0.000 2.977 4.002
P -1.907 6.281 4.002
P 2.579 1.489 1.172
P 1.907 6.281 4.002
P 6.393 1.489 1.172
P 4.486 4.792 1.172



# 4
10
Lattice="5.713 0.000 0.000 0.000 5.713 0.000 0.000 0.000 5.737" Properties=species:S:1:pos:R:3 comment="Ac2TlBiO6, optimized geometry, DFT PBE" total_energy_ev_per_cell=-64.47 sg="P4mm, No. 99" pbc="T T T"
Ac 0.000 2.857 0.000
Ac 2.857 0.000 0.000
Tl 0.000 0.000 3.211
Bi 2.857 2.857 3.245
O 0.000 0.000 1.067
O 1.414 1.414 4.282
O 1.414 4.299 4.282
O 2.857 2.857 0.904
O 4.299 1.414 4.282
O 4.299 4.299 4.282



# 5
6
Lattice="3.859 0.000 0.000 -1.929 3.342 0.000 0.000 0.000 10.790" Properties=species:S:1:pos:R:3 comment="KInC, optimized geometry, DFT PBE" dos_at_fermi_per_ev_fu=0.0 sg="P6_3/mmc, No. 194" delta_e_f_ev_per_atom=0.763 pbc="T T T"
K 0.000 0.000 0.000
K 0.000 0.000 5.395
In 0.000 2.228 2.697
In 1.929 1.114 8.092
C 0.000 2.228 8.092
C 1.929 1.114 2.697



# 6
16
Lattice="7.231 0.000 0.000 0.000 14.533 0.000 0.000 0.000 5.050" Properties=species:S:1:pos:R:3 comment="Pr5Dy2Tl, optimized geometry, DFT PBE" dos_at_fermi_per_ev_fu=11.8 sg="Pbam, No. 55" delta_e_f_ev_per_atom=-0.046 pbc="T T T"
Pr 0.000 0.000 0.000
Pr 0.029 3.799 0.000
Pr 1.792 1.835 2.525
Pr 1.823 9.102 2.525
Pr 3.586 11.065 0.000
Pr 3.616 7.266 0.000
Pr 3.645 3.468 0.000
Pr 5.408 5.431 2.525
Pr 5.439 12.697 2.525
Pr 7.202 10.734 0.000
Dy 1.798 12.768 2.525
Dy 1.817 5.501 2.525
Dy 5.414 9.031 2.525
Dy 5.433 1.765 2.525
Tl 0.000 7.266 0.000
Tl 3.616 0.000 0.000



# 7
10
Lattice="5.024 0.000 0.000 0.000 5.024 0.000 0.000 0.000 11.788" Properties=species:S:1:pos:R:3 comment="Ba2Ag4Bi3Sb, optimized geometry, DFT PBE" total_energy_ev_per_cell=-35.12 dos_at_fermi_per_ev_fu=4.6 sg="P-4m2, No. 115" pbc="T T T"
Ba 0.000 2.512 2.900
Ba 2.512 0.000 8.888
Ag 0.000 0.000 0.000
Ag 0.000 2.512 7.399
Ag 2.512 0.000 4.389
Ag 2.512 2.512 0.000
Bi 0.000 2.512 10.243
Bi 2.512 0.000 1.545
Bi 2.512 2.512 5.894
Sb 0.000 0.000 5.894



# 8
10
Lattice="7.007 0.000 0.000 0.000 7.007 0.000 0.000 0.000 5.873" Properties=species:S:1:pos:R:3 comment="Rb2SnPd2, optimized geometry, DFT PBE" dos_at_fermi_per_ev_fu=2.9 sg="P4/mbm, No. 127" delta_e_f_ev_per_atom=-0.095 pbc="T T T"
Rb 1.242 2.262 0.000
Rb 2.262 5.765 0.000
Rb 4.745 1.242 0.000
Rb 5.765 4.745 0.000
Sn 0.000 0.000 2.937
Sn 3.503 3.503 2.937
Pd 0.976 4.480 2.937
Pd 2.527 0.976 2.937
Pd 4.480 6.031 2.937
Pd 6.031 2.527 2.937